{"formula": "CeDyPb2", "functional": "PBE", "state": "optimized geometry", "cell": [[3.576, 0.000, 0.000], [0.000, 3.576, 0.000], [0.000, 0.000, 9.050]], "species": ["Ce", "Pb", "Pb", "Dy"], "fractional_positions": [[0.500, 0.500, 0.500], [0.000, 0.000, 0.757], [0.000, 0.000, 0.243], [0.500, 0.500, 0.000]], "final_energy_ev_per_atom": -4.90, "space_group": "P4/mmm (123)", "formation_enthalpy_0k_ev_per_atom": -0.414, "dos_ef_per_ev_atom": 2.17}

***

{"formula": "Ce5DyPb3", "functional": "PBE", "state": "optimized geometry", "cell": [[6.706, 0.000, 0.000], [0.000, 9.613, 0.000], [0.000, -4.807, 8.325]], "species": ["Ce", "Ce", "Ce", "Ce", "Ce", "Ce", "Ce", "Ce", "Ce", "Ce", "Pb", "Pb", "Pb", "Pb", "Pb", "Pb", "Dy", "Dy"], "fractional_positions": [[0.250, 0.340, 0.340], [0.500, 0.667, 0.333], [0.250, 0.660, 0.000], [0.750, 0.660, 0.660], [0.500, 0.333, 0.667], [0.000, 0.667, 0.333], [0.750, 0.340, 0.000], [0.250, 0.000, 0.660], [0.000, 0.333, 0.667], [0.750, 0.000, 0.340], [0.750, 0.326, 0.326], [0.750, 0.674, 0.000], [0.250, 0.326, 0.000], [0.750, 0.000, 0.674], [0.250, 0.000, 0.326], [0.250, 0.674, 0.674], [0.500, 0.000, 0.000], [0.000, 0.000, 0.000]], "final_energy_ev_per_atom": -5.35, "space_group": "P6_3/mcm (193)", "formation_enthalpy_0k_ev_per_atom": -0.310, "dos_ef_per_ev_atom": 2.84}

***

{"formula": "CeDyPb2", "functional": "PBE", "state": "optimized geometry", "cell": [[4.297, 0.000, -1.563], [0.000, 4.529, 0.000], [-0.119, 0.000, 6.345]], "species": ["Dy", "Pb", "Pb", "Ce"], "fractional_positions": [[0.454, 0.500, 0.446], [0.182, 0.500, 0.903], [0.983, 0.000, 0.504], [0.713, 0.000, 0.965]], "final_energy_ev_per_atom": -4.90, "space_group": "Amm2 (38)", "formation_enthalpy_0k_ev_per_atom": -0.413, "dos_ef_per_ev_atom": 2.02}

***

{"formula": "CeDyPb", "functional": "PBE", "state": "optimized geometry", "cell": [[4.337, 0.000, -0.904], [-0.189, 4.333, -0.904], [-0.300, -0.314, 9.411]], "species": ["Dy", "Dy", "Pb", "Pb", "Ce", "Ce"], "fractional_positions": [[0.177, 0.177, 0.353], [0.823, 0.823, 0.647], [0.643, 0.643, 0.286], [0.357, 0.357, 0.714], [0.000, 0.500, 0.000], [0.500, 0.000, 0.000]], "final_energy_ev_per_atom": -5.17, "space_group": "I4/mmm (139)", "formation_enthalpy_0k_ev_per_atom": -0.419, "dos_ef_per_ev_atom": 1.73}

***

{"formula": "CeDyPb2", "functional": "PBE", "state": "optimized geometry", "cell": [[3.554, 0.000, 0.000], [0.000, 5.772, -0.276], [0.000, -1.030, 5.686]], "species": ["Dy", "Ce", "Pb", "Pb"], "fractional_positions": [[0.500, 0.000, 0.000], [0.500, 0.500, 0.500], [0.000, 0.500, 0.000], [0.000, 0.000, 0.500]], "final_energy_ev_per_atom": -4.90, "space_group": "Cmmm (65)", "formation_enthalpy_0k_ev_per_atom": -0.410, "dos_ef_per_ev_atom": 2.04}

***

{"formula": "Ce6DyPb10", "functional": "PBE", "state": "optimized geometry", "cell": [[-3.044, -1.272, -5.638], [8.422, -0.308, -4.477], [-3.686, -7.948, 3.784]], "species": ["Pb", "Pb", "Pb", "Pb", "Pb", "Pb", "Pb", "Pb", "Pb", "Pb", "Ce", "Ce", "Ce", "Ce", "Ce", "Ce", "Dy"], "fractional_positions": [[0.786, 0.000, 0.266], [0.214, 0.266, 0.266], [0.500, 0.333, 0.667], [0.214, 0.000, 0.734], [0.000, 0.667, 0.333], [0.786, 0.734, 0.734], [0.786, 0.266, 0.000], [0.500, 0.667, 0.333], [0.214, 0.734, 0.000], [0.000, 0.333, 0.667], [0.738, 0.386, 0.386], [0.262, 0.614, 0.614], [0.262, 0.000, 0.386], [0.738, 0.000, 0.614], [0.262, 0.386, 0.000], [0.738, 0.614, 0.000], [0.500, 0.000, 0.000]], "final_energy_ev_per_atom": -4.88, "space_group": "P-31m (162)", "formation_enthalpy_0k_ev_per_atom": -0.336, "dos_ef_per_ev_atom": 2.27}

***

{"formula": "Ce2DyPb3", "functional": "PBE", "state": "optimized geometry", "cell": [[-3.568, 2.123, 1.773], [-0.261, -3.507, 3.675], [9.317, 8.405, 8.680]], "species": ["Pb", "Pb", "Pb", "Pb", "Pb", "Pb", "Ce", "Ce", "Ce", "Ce", "Dy", "Dy"], "fractional_positions": [[0.500, 0.500, 0.000], [0.500, 0.500, 0.337], [0.500, 0.500, 0.663], [0.500, 0.000, 0.837], [0.500, 0.000, 0.163], [0.500, 0.000, 0.500], [0.000, 0.500, 0.833], [0.000, 0.000, 0.667], [0.000, 0.000, 0.333], [0.000, 0.500, 0.167], [0.000, 0.500, 0.500], [0.000, 0.000, 0.000]], "final_energy_ev_per_atom": -5.01, "space_group": "Cmmm (65)", "formation_enthalpy_0k_ev_per_atom": -0.408, "dos_ef_per_ev_atom": 2.48}

***

{"formula": "Ce2DyPb3", "functional": "PBE", "state": "optimized geometry", "cell": [[-3.557, -5.276, 0.544], [6.881, -4.201, 4.249], [-2.262, 5.861, 4.572]], "species": ["Pb", "Pb", "Pb", "Pb", "Pb", "Pb", "Ce", "Ce", "Ce", "Ce", "Dy", "Dy"], "fractional_positions": [[0.833, 0.916, 0.666], [0.167, 0.584, 0.334], [0.501, 0.250, 0.000], [0.833, 0.416, 0.666], [0.167, 0.084, 0.334], [0.499, 0.750, 0.000], [0.667, 0.083, 0.333], [0.333, 0.917, 0.667], [0.666, 0.583, 0.333], [0.334, 0.417, 0.667], [0.999, 0.750, 0.000], [0.001, 0.250, 0.000]], "final_energy_ev_per_atom": -4.91, "space_group": "C2/c (15)", "formation_enthalpy_0k_ev_per_atom": -0.310, "dos_ef_per_ev_atom": 1.21}

***

What did the seventh record say?
{"formula": "Ce2DyPb3", "functional": "PBE", "state": "optimized geometry", "cell": [[-3.568, 2.123, 1.773], [-0.261, -3.507, 3.675], [9.317, 8.405, 8.680]], "species": ["Pb", "Pb", "Pb", "Pb", "Pb", "Pb", "Ce", "Ce", "Ce", "Ce", "Dy", "Dy"], "fractional_positions": [[0.500, 0.500, 0.000], [0.500, 0.500, 0.337], [0.500, 0.500, 0.663], [0.500, 0.000, 0.837], [0.500, 0.000, 0.163], [0.500, 0.000, 0.500], [0.000, 0.500, 0.833], [0.000, 0.000, 0.667], [0.000, 0.000, 0.333], [0.000, 0.500, 0.167], [0.000, 0.500, 0.500], [0.000, 0.000, 0.000]], "final_energy_ev_per_atom": -5.01, "space_group": "Cmmm (65)", "formation_enthalpy_0k_ev_per_atom": -0.408, "dos_ef_per_ev_atom": 2.48}

***

What did the fifth record say?
{"formula": "CeDyPb2", "functional": "PBE", "state": "optimized geometry", "cell": [[3.554, 0.000, 0.000], [0.000, 5.772, -0.276], [0.000, -1.030, 5.686]], "species": ["Dy", "Ce", "Pb", "Pb"], "fractional_positions": [[0.500, 0.000, 0.000], [0.500, 0.500, 0.500], [0.000, 0.500, 0.000], [0.000, 0.000, 0.500]], "final_energy_ev_per_atom": -4.90, "space_group": "Cmmm (65)", "formation_enthalpy_0k_ev_per_atom": -0.410, "dos_ef_per_ev_atom": 2.04}